(1)
Entry from Alexandria: a relaxed structure of Re2RuSe5 (GGA-PBE).

Calculated values
**D(E_F)**: 0.763 states/eV/atom
**Formation energy (no corrections)**: 224 meV/atom

Unit cell a=5.620 b=7.034 c=6.904 alpha=59.38 beta=66.98 gamma=90.00
Element x y z (fractional)
1 Ru 0.015 0.992 0.017
2 Re 0.513 0.985 0.031
3 Re 0.909 0.369 0.261
4 Se 0.921 0.175 0.650
5 Se 0.289 0.289 0.977
6 Se 0.289 0.734 0.977
7 Se 0.643 0.054 0.321
8 Se 0.643 0.625 0.321

***

(2)
Entry from Alexandria: a relaxed structure of ScCuNi (GGA-PBE).

Calculated values
**D(E_F)**: 0.843 states/eV/atom
**Calculated formation energy**: -0.81 eV per formula unit

Unit cell a=4.074 b=4.891 c=5.265 alpha=79.48 beta=89.99 gamma=65.44
Element x y z (fractional)
1 Sc 0.187 0.916 0.483
2 Sc 0.407 0.477 0.112
3 Cu 0.070 0.151 0.931
4 Cu 0.525 0.241 0.665
5 Ni 0.702 0.888 0.106
6 Ni 0.893 0.506 0.490

***

(3)
Entry from Alexandria: a relaxed structure of Sr2TbHg4 (GGA-PBE).

Calculated values
**D(E_F)**: 0.902 states/eV/atom
**Calculated formation energy**: -2.71 eV per formula unit

Unit cell a=5.532 b=5.532 c=8.144 alpha=109.86 beta=109.86 gamma=90.00
Element x y z (fractional)
1 Sr 0.733 0.733 0.466
2 Sr 0.267 0.267 0.534
3 Hg 0.392 0.892 0.783
4 Hg 0.108 0.608 0.217
5 Hg 0.892 0.392 0.783
6 Hg 0.608 0.108 0.217
7 Tb 0.000 0.000 0.000

***

(4)
Entry from Alexandria: a relaxed structure of LiYPuCl6 (GGA-PBE).

Calculated values
**D(E_F)**: 1.990 states/eV/atom
**Formation energy (no corrections)**: -1974 meV/atom

Unit cell a=6.713 b=6.713 c=12.574 alpha=90.00 beta=90.00 gamma=120.00
Element x y z (fractional)
1 Cl 0.353 0.346 0.868
2 Cl 0.006 0.654 0.368
3 Cl 0.006 0.353 0.132
4 Cl 0.654 0.647 0.632
5 Cl 0.654 0.006 0.868
6 Cl 0.647 0.654 0.132
7 Cl 0.353 0.006 0.632
8 Cl 0.994 0.647 0.868
9 Cl 0.647 0.994 0.368
10 Cl 0.994 0.346 0.632
11 Cl 0.346 0.353 0.368
12 Cl 0.346 0.994 0.132
13 Y 0.667 0.333 0.250
14 Y 0.333 0.667 0.750
15 Pu 0.000 0.000 0.000
16 Pu 0.000 0.000 0.500
17 Li 0.333 0.667 0.250
18 Li 0.667 0.333 0.750